Record 1
The following is a PBE calculation of a relaxed B84O11 crystal, from Alexandria via LeMat-Bulk.

- formation energy (no corrections) (kJ/mol of formula units) = -5067
- space group = P1, No. 1

Geometry as CIF:
```
data_B84O11
_chemical_formula_sum 'B84 O11'
_cell_length_a 7.3966
_cell_length_b 8.8015
_cell_length_c 11.8043
_cell_angle_alpha 95.82
_cell_angle_beta 91.23
_cell_angle_gamma 112.23
_space_group_name_H-M_alt 'P 1'
_space_group_IT_number 1
loop_
_space_group_symop_operation_xyz
'x,y,z'
loop_
_atom_site_label
_atom_site_type_symbol
_atom_site_fract_x
_atom_site_fract_y
_atom_site_fract_z
B1 B 0.0000 0.0000 0.0000
B2 B 0.0006 0.7449 0.3383
B3 B 0.0057 0.5409 0.3398
B4 B 0.0082 0.2123 0.0055
B5 B 0.0516 0.9671 0.1468
B6 B 0.0599 0.3096 0.1510
B7 B 0.0617 0.3810 0.5451
B8 B 0.0790 0.8863 0.5435
B9 B 0.0890 0.1576 0.2344
B10 B 0.0990 0.6604 0.2274
B11 B 0.1114 0.0738 0.6265
B12 B 0.1166 0.7403 0.6283
B13 B 0.1534 0.0369 0.7676
B14 B 0.1560 0.4980 0.4298
B15 B 0.1597 0.2950 0.4342
B16 B 0.1625 0.8356 0.7720
B17 B 0.2028 0.2601 0.5761
B18 B 0.2035 0.5950 0.5748
B19 B 0.2051 0.6651 0.9767
B20 B 0.2138 0.1674 0.9695
B21 B 0.2342 0.4465 0.6607
B22 B 0.2428 0.0151 0.0527
B23 B 0.2511 0.3576 0.0569
B24 B 0.2673 0.9616 0.6554
B25 B 0.2936 0.1116 0.1982
B26 B 0.3022 0.3236 0.2027
B27 B 0.3021 0.7858 0.8644
B28 B 0.3048 0.5815 0.8657
B29 B 0.3427 0.9501 0.4095
B30 B 0.3469 0.8801 0.0068
B31 B 0.3499 0.5447 0.0061
B32 B 0.3685 0.4503 0.3856
B33 B 0.3777 0.7308 0.0921
B34 B 0.3869 0.2314 0.0857
B35 B 0.3930 0.3066 0.4798
B36 B 0.3925 0.6392 0.4779
B37 B 0.4347 0.0660 0.2944
B38 B 0.4377 0.6059 0.6206
B39 B 0.4404 0.4026 0.6231
B40 B 0.4399 0.8640 0.2985
B41 B 0.4832 0.1629 0.4383
B42 B 0.4848 0.8315 0.4418
B43 B 0.4873 0.2362 0.8301
B44 B 0.5100 0.0207 0.5333
B45 B 0.5106 0.7433 0.8266
B46 B 0.5341 0.5197 0.5100
B47 B 0.5405 0.9293 0.9113
B48 B 0.5443 0.5956 0.9108
B49 B 0.5714 0.1432 0.7123
B50 B 0.5803 0.3548 0.7170
B51 B 0.5827 0.8923 0.0519
B52 B 0.5889 0.6894 0.0535
B53 B 0.6078 0.5081 0.2663
B54 B 0.6263 0.1129 0.8587
B55 B 0.6302 0.4504 0.8610
B56 B 0.6433 0.0233 0.2579
B57 B 0.6590 0.3000 0.9463
B58 B 0.6729 0.2088 0.3421
B59 B 0.6737 0.8753 0.3454
B60 B 0.6968 0.8177 0.9402
B61 B 0.7141 0.6357 0.1520
B62 B 0.7174 0.1748 0.4831
B63 B 0.7203 0.4325 0.1532
B64 B 0.7218 0.9724 0.4897
B65 B 0.7603 0.7301 0.2947
B66 B 0.7647 0.3959 0.2940
B67 B 0.7799 0.8108 0.6947
B68 B 0.7866 0.3107 0.6809
B69 B 0.7982 0.5833 0.3784
B70 B 0.8156 0.0887 0.3730
B71 B 0.8157 0.1605 0.7648
B72 B 0.8211 0.4983 0.7669
B73 B 0.8635 0.4605 0.9074
B74 B 0.8659 0.2564 0.9090
B75 B 0.8712 0.9287 0.5809
B76 B 0.8770 0.7255 0.5841
B77 B 0.9159 0.0930 0.1182
B78 B 0.9186 0.0244 0.7235
B79 B 0.9230 0.6912 0.7263
B80 B 0.9255 0.5943 0.1128
B81 B 0.9469 0.8807 0.8168
B82 B 0.9534 0.7806 0.1981
B83 B 0.9569 0.4451 0.1978
B84 B 0.9611 0.3760 0.7965
O1 O 0.0274 0.1567 0.3529
O2 O 0.1301 0.8806 0.4237
O3 O 0.1748 0.4463 0.7797
O4 O 0.2780 0.1723 0.8518
O5 O 0.3134 0.7282 0.2115
O6 O 0.5664 0.7420 0.7068
O7 O 0.5977 0.2982 0.0655
O8 O 0.7054 0.0257 0.1392
O9 O 0.7475 0.5888 0.4985
O10 O 0.8494 0.3133 0.5633
O11 O 0.9905 0.5960 0.9937
```

Record 2
The following is a PBE calculation of a relaxed CaMg3Al2 crystal, from Alexandria via LeMat-Bulk.

- formation energy (eV/atom) = -0.0802
- space group = C2/m, No. 12

Geometry as CIF:
```
data_CaMg3Al2
_chemical_formula_sum 'Ca2 Mg6 Al4'
_cell_length_a 8.7282
_cell_length_b 8.7282
_cell_length_c 7.4139
_cell_angle_alpha 108.21
_cell_angle_beta 108.21
_cell_angle_gamma 31.38
_space_group_name_H-M_alt 'P 1'
_space_group_IT_number 1
loop_
_space_group_symop_operation_xyz
'x,y,z'
loop_
_atom_site_label
_atom_site_type_symbol
_atom_site_fract_x
_atom_site_fract_y
_atom_site_fract_z
Ca1 Ca 0.1149 0.1149 0.1835
Ca2 Ca 0.8851 0.8851 0.8165
Mg1 Mg 0.0727 0.0727 0.7022
Mg2 Mg 0.3028 0.3028 0.0724
Mg3 Mg 0.3811 0.3811 0.5000
Mg4 Mg 0.6189 0.6189 0.5000
Mg5 Mg 0.6972 0.6972 0.9276
Mg6 Mg 0.9273 0.9273 0.2978
Al1 Al 0.2362 0.2362 0.6424
Al2 Al 0.4792 0.4792 0.1567
Al3 Al 0.5208 0.5208 0.8433
Al4 Al 0.7638 0.7638 0.3576
```

Record 3
The following is a PBE calculation of a relaxed ThInI2 crystal, from Alexandria via LeMat-Bulk.

- formation energy (no corrections) (kJ/mol of formula units) = -244
- space group = R-3m, No. 166

Geometry as CIF:
```
data_ThInI2
_chemical_formula_sum 'Th1 In1 I2'
_cell_length_a 11.9050
_cell_length_b 11.9050
_cell_length_c 11.9050
_cell_angle_alpha 18.57
_cell_angle_beta 18.57
_cell_angle_gamma 18.57
_space_group_name_H-M_alt 'P 1'
_space_group_IT_number 1
loop_
_space_group_symop_operation_xyz
'x,y,z'
loop_
_atom_site_label
_atom_site_type_symbol
_atom_site_fract_x
_atom_site_fract_y
_atom_site_fract_z
Th1 Th 0.0000 0.0000 0.0000
In1 In 0.5000 0.5000 0.5000
I1 I 0.4000 0.4000 0.4000
I2 I 0.6000 0.6000 0.6000
```